Entry 1:
Density functional theory data (PBE) for an optimized crystal structure of VCrNiI2.

abc: 5.4003 4.4954 5.4003
angles: 90.00 90.00 90.00
With the nearest neighbours (Å) after each atom.
Fractional coordinates of all 5 atoms:
I 0.0000 0.0000 0.5000  2 V 2.70
I 0.5000 0.0000 0.0000  2 V 2.70
Ni 0.0000 0.5000 0.0000  2 V 2.25
V 0.0000 0.0000 0.0000  2 Ni 2.25
Cr 0.5000 0.5000 0.5000  8 I 3.51, 4 Ni 3.82

Properties
SG ... P4/mmm, No. 123
E_form (uncorrected) ... 0.87 eV per atom
Final energy ... -4.66 eV per atom

Entry 2:
Density functional theory data (PBE) for an optimized crystal structure of TiCd2BrF.

abc: 4.5462 5.7813 4.5462
angles: 90.00 90.00 90.00
With the nearest neighbours (Å) after each atom.
Fractional coordinates of all 5 atoms:
F 0.0000 0.0000 0.0000  4 Cd 2.27
Ti 0.5000 0.5000 0.5000  4 Br 3.21
Br 0.0000 0.5000 0.0000  2 F 2.89, 4 Ti 3.21
Cd 0.0000 0.0000 0.5000  2 F 2.27
Cd 0.5000 0.0000 0.0000  2 F 2.27

Properties
SG ... P4/mmm, No. 123
E_form (uncorrected) ... -0.15 eV per atom
Final energy ... -2.81 eV per atom